# 1
# GGA-PBE PrCrCu4, relaxed
data_PrCrCu4
_chemical_formula_sum 'Pr4 Cr4 Cu16'
_space_group_name_H-M_alt 'F -4 3 m'
_space_group_IT_number 216
_space_group_name_Hall 'F -4 2 3'
_cell_length_a 7.2719
_cell_length_b 7.2719
_cell_length_c 7.2719
_cell_angle_alpha 90.00
_cell_angle_beta 90.00
_cell_angle_gamma 90.00
loop_
_atom_site_label
_atom_site_type_symbol
_atom_site_fract_x
_atom_site_fract_y
_atom_site_fract_z
Pr1 Pr 0.0000 0.0000 0.0000
Cr1 Cr 0.2500 0.2500 0.7500
Cu1 Cu 0.1229 0.1229 0.3771
# Energy relative to the elements: 0.046 eV per atom
# E: -5.085 eV/atom

# 2
# GGA-PBE TlAuC3, relaxed
data_TlAuC3
_chemical_formula_sum 'Tl1 Au1 C3'
_space_group_name_H-M_alt 'P m -3 m'
_space_group_IT_number 221
_space_group_name_Hall '-P 4 2 3'
_cell_length_a 4.2753
_cell_length_b 4.2753
_cell_length_c 4.2753
_cell_angle_alpha 90.00
_cell_angle_beta 90.00
_cell_angle_gamma 90.00
loop_
_atom_site_label
_atom_site_type_symbol
_atom_site_fract_x
_atom_site_fract_y
_atom_site_fract_z
Tl1 Tl 0.0000 0.0000 0.0000
Au1 Au 0.5000 0.5000 0.5000
C1 C 0.0000 0.5000 0.5000
# Energy relative to the elements: 2.952 eV per atom
# E: -3.711 eV/atom

# 3
# GGA-PBE TePt3, relaxed
data_TePt3
_chemical_formula_sum 'Te4 Pt12'
_space_group_name_H-M_alt 'C m c m'
_space_group_IT_number 63
_space_group_name_Hall '-C 2c 2'
_cell_length_a 8.2094
_cell_length_b 8.2689
_cell_length_c 4.1714
_cell_angle_alpha 90.00
_cell_angle_beta 90.00
_cell_angle_gamma 90.00
loop_
_atom_site_label
_atom_site_type_symbol
_atom_site_fract_x
_atom_site_fract_y
_atom_site_fract_z
Te1 Te 0.0000 0.1645 0.2500
Pt1 Pt 0.0000 0.3799 0.7500
Pt2 Pt 0.2481 0.1191 0.7500
# Formation energy without anion corrections: 0.02 eV per atom
# E: -5.295 eV/atom

# 4
# GGA-PBE LiYIn2, relaxed
data_LiYIn2
_chemical_formula_sum 'Li1 Y1 In2'
_space_group_name_H-M_alt 'P 4 m m'
_space_group_IT_number 99
_cell_length_a 3.7965
_cell_length_b 3.7965
_cell_length_c 6.8554
_cell_angle_alpha 90.00
_cell_angle_beta 90.00
_cell_angle_gamma 90.00
loop_
_space_group_symop_operation_xyz
'x,y,z'
'-y,x,z'
'-x,-y,z'
'y,-x,z'
'-x,y,z'
'y,x,z'
'x,-y,z'
'-y,-x,z'
loop_
_atom_site_label
_atom_site_type_symbol
_atom_site_fract_x
_atom_site_fract_y
_atom_site_fract_z
Li1 Li 0.0000 0.0000 0.0000
Y1 Y 0.5000 0.5000 0.2926
In1 In 0.0000 0.0000 0.5539
In2 In 0.5000 0.5000 0.8168
# Energy relative to the elements: -0.183 eV per atom
# E: -3.646 eV/atom

# 5
# GGA-PBE AcNdY2, relaxed
data_AcNdY2
_chemical_formula_sum 'Ac1 Nd1 Y2'
_space_group_name_H-M_alt 'P 4/m m m'
_space_group_IT_number 123
_space_group_name_Hall '-P 4 2'
_cell_length_a 3.7709
_cell_length_b 3.7709
_cell_length_c 10.0955
_cell_angle_alpha 90.00
_cell_angle_beta 90.00
_cell_angle_gamma 90.00
loop_
_atom_site_label
_atom_site_type_symbol
_atom_site_fract_x
_atom_site_fract_y
_atom_site_fract_z
Ac1 Ac 0.0000 0.0000 0.0000
Nd1 Nd 0.0000 0.0000 0.5000
Y1 Y 0.5000 0.5000 0.2603
# Energy relative to the elements: 0.042 eV per atom
# E: -5.409 eV/atom

# 6
# GGA-PBE Ac2PmCd, relaxed
data_Ac2PmCd
_chemical_formula_sum 'Ac2 Pm1 Cd1'
_space_group_name_H-M_alt 'P 4/m m m'
_space_group_IT_number 123
_space_group_name_Hall '-P 4 2'
_cell_length_a 3.9751
_cell_length_b 3.9751
_cell_length_c 9.3973
_cell_angle_alpha 90.00
_cell_angle_beta 90.00
_cell_angle_gamma 90.00
loop_
_atom_site_label
_atom_site_type_symbol
_atom_site_fract_x
_atom_site_fract_y
_atom_site_fract_z
Ac1 Ac 0.0000 0.0000 0.2250
Pm1 Pm 0.5000 0.5000 0.5000
Cd1 Cd 0.5000 0.5000 0.0000
# Energy relative to the elements: -0.128 eV per atom
# E: -3.598 eV/atom

# 7
# GGA-PBE Zn2TeIr, relaxed
data_Zn2TeIr
_chemical_formula_sum 'Zn4 Te2 Ir2'
_space_group_name_H-M_alt 'C 1 2/m 1'
_space_group_IT_number 12
_cell_length_a 8.8148
_cell_length_b 3.6160
_cell_length_c 4.6935
_cell_angle_alpha 90.00
_cell_angle_beta 98.80
_cell_angle_gamma 90.00
loop_
_space_group_symop_operation_xyz
'x,y,z'
'-x,-y,-z'
'-x,y,-z'
'x,-y,z'
'x+1/2,y+1/2,z'
'-x+1/2,-y+1/2,-z'
'-x+1/2,y+1/2,-z'
'x+1/2,-y+1/2,z'
loop_
_atom_site_label
_atom_site_type_symbol
_atom_site_fract_x
_atom_site_fract_y
_atom_site_fract_z
Zn1 Zn 0.2253 0.0000 0.1687
Te1 Te 0.0000 0.0000 0.5000
Ir1 Ir 0.0000 0.5000 0.0000
# Formation energy without anion corrections: 0.13 eV per atom
# E: -3.508 eV/atom

# 8
# GGA-PBE CsCoB2H8, relaxed
data_CsCoB2H8
_chemical_formula_sum 'Cs3 Co3 B6 H24'
_space_group_name_H-M_alt 'R -3'
_space_group_IT_number 148
_space_group_name_Hall '-R 3'
_cell_length_a 4.5201
_cell_length_b 4.5201
_cell_length_c 21.7999
_cell_angle_alpha 90.00
_cell_angle_beta 90.00
_cell_angle_gamma 120.00
loop_
_atom_site_label
_atom_site_type_symbol
_atom_site_fract_x
_atom_site_fract_y
_atom_site_fract_z
Cs1 Cs 0.0000 0.0000 0.0000
Co1 Co 0.0000 0.0000 0.5000
B1 B 0.0000 0.0000 0.2289
H1 H 0.0000 0.0000 0.2851
H2 H 0.0421 0.4432 0.8787
# E: -4.073 eV/atom

# 9
# GGA-PBE AlV6C, relaxed
data_AlV6C
_chemical_formula_sum 'Al1 V6 C1'
_space_group_name_H-M_alt 'P -1'
_space_group_IT_number 2
_cell_length_a 4.5037
_cell_length_b 4.9326
_cell_length_c 4.9510
_cell_angle_alpha 98.56
_cell_angle_beta 101.62
_cell_angle_gamma 101.45
loop_
_space_group_symop_operation_xyz
'x,y,z'
'-x,-y,-z'
loop_
_atom_site_label
_atom_site_type_symbol
_atom_site_fract_x
_atom_site_fract_y
_atom_site_fract_z
Al1 Al 0.0000 0.0000 0.0000
V1 V 0.2291 0.5712 0.1978
V2 V 0.2308 0.1960 0.5690
V3 V 0.3832 0.7701 0.7738
C1 C 0.0000 0.5000 0.5000
# Energy relative to the elements: -0.119 eV per atom
# E: -8.579 eV/atom

Q: The highest E belongs to which entry?
A: Zn2TeIr

Q: What is the formula in the ninth record?
A: AlV6C